# Ti2VNi PBE-GGA relaxed
# **Excess energy over the best structure of this formula in the dataset**: 0.230 eV per formula unit
# **Crystal system**: tetragonal
# **Energy of formation from the pure elements**: -14 kJ per mole of atoms
# **Size of the total moment**: 0.00 μB per formula unit
data_Ti2VNi
_chemical_formula_sum 'Ti2 V1 Ni1'
_cell_length_a 4.2569
_cell_length_b 4.2569
_cell_length_c 3.1423
_cell_angle_alpha 90.00
_cell_angle_beta 90.00
_cell_angle_gamma 90.00
_space_group_name_H-M_alt 'P 4/m m m'
_space_group_IT_number 123
_space_group_name_Hall '-P 4 2'
loop_
_atom_site_label
_atom_site_type_symbol
_atom_site_fract_x
_atom_site_fract_y
_atom_site_fract_z
_atom_site_occupancy
Ti1 Ti 0.0000 0.5000 0.0000 1
V1 V 0.0000 0.0000 0.5000 1
Ni1 Ni 0.5000 0.5000 0.5000 1